Material: TaNiAgF2
Method: DFT, PBE with a Hubbard U
State: optimized geometry

```
TaNiAgF2
1.0
-3.106 1.109 2.054
-0.336 -3.596 1.433
3.253 1.363 4.184
Ni Ta F Ag
1 1 2 1
Direct
0.000 0.000 0.000
0.000 0.000 0.500
0.500 0.000 0.000
0.000 0.500 0.000
0.500 0.500 0.500
```

Output
- Crystal system: tetragonal
- Calculated volume: 83 Å³ per cell
- Space group: P4/mmm, No. 123
- Total DFT energy (no corrections): -4.283 eV per atom